Density functional theory data (PBE) for a geometry-optimized Cr3Ni structure.

Results
Crystal system ... orthorhombic
Calculated formation energy ... 12.61 kJ/mol of atoms
Space-group type ... No. 71
Total magnetic moment ... 0.0 Bohr magnetons per cell

extended XYZ file:
```
4
Lattice="-1.494 1.988 3.855 1.494 -1.988 3.855 1.494 1.988 -3.855" Properties=species:S:1:pos:R:3 pbc="T T T"
Cr 0.000 0.000 0.000
Cr 1.494 0.000 1.824
Cr 0.000 1.988 2.031
Ni 0.000 0.000 3.855
```